This record from the Alexandria database describes a geometry-optimized TcNiO2 structure. The functional is GGA+U.

abc: 5.3645 5.4544 5.0584
angles: 64.38 104.00 65.93
Positions (direct):
Ni (0.6990, 0.6325, 0.7203)
Ni (0.2221, 0.0648, 0.9707)
Tc (0.2144, 0.5250, 0.0984)
Tc (0.0175, 0.7362, 0.4077)
O (0.5599, 0.0392, 0.2691)
O (0.8874, 0.0151, 0.8985)
O (0.2510, 0.2910, 0.5485)
O (0.3256, 0.6910, 0.7436)

space-group type	P1 (1)
energy above the most stable polymorph in this dataset	324	meV per atom
calculated volume	105.0	Å³ per cell
DOS(E_F)	0.178	states/eV per atom